(1)
KCu2Si, optimized geometry, DFT PBE; uncorrected formation energy = 352 meV per atom
1.0
4.4643 0.0000 0.0000
0.0000 4.4756 0.0000
0.0000 0.0000 7.7502
K Cu Si
2 4 2
Direct
0.0000 0.0000 0.0000
0.5000 0.5000 0.0000
0.0000 0.5000 0.3411
0.0000 0.5000 0.6589
0.5000 0.0000 0.3411
0.5000 0.0000 0.6589
0.0000 0.0000 0.5000
0.5000 0.5000 0.5000



(2)
K2CuSi, optimized geometry, DFT PBE; uncorrected formation energy = 159 meV per atom
1.0
12.6752 0.0000 0.0000
0.0000 12.6752 0.0000
0.0000 0.0000 4.3904
K Cu Si
8 4 4
Direct
0.0010 0.2500 0.1250
0.2500 0.5010 0.3750
0.2500 0.9990 0.8750
0.4990 0.2500 0.6250
0.5010 0.7500 0.6250
0.7500 0.0010 0.8750
0.7500 0.4990 0.3750
0.9990 0.7500 0.1250
0.0000 0.0000 0.0000
0.0000 0.5000 0.2500
0.5000 0.0000 0.7500
0.5000 0.5000 0.5000
0.0000 0.0000 0.5000
0.0000 0.5000 0.7500
0.5000 0.0000 0.2500
0.5000 0.5000 0.0000



(3)
KCuSi2, optimized geometry, DFT PBE; E above lowest polymorph = 444 meV per atom; uncorrected formation energy = 467 meV per atom
1.0
3.1739 0.0000 0.0000
-1.5870 2.7487 0.0000
0.0000 0.0000 26.9626
K Cu Si
3 3 6
Direct
0.0000 0.0000 0.0000
0.3333 0.6667 0.6667
0.6667 0.3333 0.3333
0.0000 0.0000 0.5000
0.3333 0.6667 0.1667
0.6667 0.3333 0.8333
0.0000 0.0000 0.2278
0.0000 0.0000 0.7722
0.3333 0.6667 0.4389
0.3333 0.6667 0.8945
0.6667 0.3333 0.1055
0.6667 0.3333 0.5611



(4)
KSr2CuSi, optimized geometry, DFT PBE; uncorrected formation energy = 1069 meV per atom
1.0
6.2768 0.0000 0.0000
0.0000 6.2768 0.0000
0.0000 0.0000 4.8302
K Sr Cu Si
1 2 1 1
Direct
0.0000 0.0000 0.0000
0.0000 0.5000 0.0000
0.5000 0.0000 0.0000
0.0000 0.0000 0.5000
0.5000 0.5000 0.5000



(5)
K2CuSiTe4, optimized geometry, DFT PBE; uncorrected formation energy = -441 meV per atom
1.0
0.0000 7.5038 11.7436
3.3244 0.0000 11.7436
3.3244 7.5038 0.0000
K Cu Si Te
4 2 2 8
Direct
0.0556 0.0556 0.6944
0.3056 0.3056 0.9444
0.6944 0.6944 0.0556
0.9444 0.9444 0.3056
0.1250 0.1250 0.1250
0.8750 0.8750 0.8750
0.3750 0.3750 0.3750
0.6250 0.6250 0.6250
0.0189 0.3399 0.4316
0.2905 0.5684 0.6601
0.3399 0.0189 0.7095
0.4316 0.7095 0.0189
0.5684 0.2905 0.9811
0.6601 0.9811 0.2905
0.7095 0.4316 0.3399
0.9811 0.6601 0.5684



(6)
KCu2SiTe4, optimized geometry, DFT PBE; uncorrected formation energy = -202 meV per atom
1.0
7.0817 0.0000 0.0000
0.0000 7.0817 0.0000
0.0000 0.0000 9.5448
K Cu Si Te
2 4 2 8
Direct
0.0000 0.0000 0.0000
0.5000 0.5000 0.5000
0.0000 0.5000 0.2500
0.0000 0.5000 0.7500
0.5000 0.0000 0.2500
0.5000 0.0000 0.7500
0.0000 0.0000 0.5000
0.5000 0.5000 0.0000
0.2039 0.2039 0.3424
0.2039 0.7961 0.6576
0.2961 0.2961 0.8424
0.2961 0.7039 0.1576
0.7039 0.2961 0.1576
0.7039 0.7039 0.8424
0.7961 0.2039 0.6576
0.7961 0.7961 0.3424



(7)
KVCu2Si, optimized geometry, DFT PBE; uncorrected formation energy = 739 meV per atom
1.0
4.8850 0.0000 0.0000
0.0000 4.8850 0.0000
0.0000 0.0000 4.7169
K V Cu Si
1 1 2 1
Direct
0.0000 0.0000 0.0000
0.5000 0.5000 0.5000
0.0000 0.5000 0.5000
0.5000 0.0000 0.5000
0.5000 0.5000 0.0000



(8)
KCuSn4, optimized geometry, DFT PBE; energy relative to the elements = -0.084 eV/atom
1.0
8.9064 -3.8730 0.0000
8.9064 3.8730 0.0000
-1.9510 0.0000 5.5839
K Cu Sn
2 2 8
Direct
0.2047 0.2047 0.2048
0.7953 0.7953 0.7952
0.5003 0.5003 0.2758
0.4997 0.4997 0.7242
0.1760 0.6350 0.4054
0.2109 0.7891 0.0000
0.3652 0.3652 0.8664
0.3650 0.8240 0.5946
0.6350 0.1760 0.4054
0.6348 0.6348 0.1336
0.7891 0.2109 0.0000
0.8240 0.3650 0.5946



(9)
K2CuSn, optimized geometry, DFT PBE; energy relative to the elements = 0.057 eV/atom
1.0
12.6020 0.0000 0.0000
0.0000 12.6020 0.0000
0.0000 0.0000 4.8793
K Cu Sn
8 4 4
Direct
0.0567 0.2500 0.1250
0.2500 0.5567 0.3750
0.2500 0.9433 0.8750
0.4433 0.2500 0.6250
0.5567 0.7500 0.6250
0.7500 0.0567 0.8750
0.7500 0.4433 0.3750
0.9433 0.7500 0.1250
0.0000 0.0000 0.0000
0.0000 0.5000 0.2500
0.5000 0.0000 0.7500
0.5000 0.5000 0.5000
0.0000 0.0000 0.5000
0.0000 0.5000 0.7500
0.5000 0.0000 0.2500
0.5000 0.5000 0.0000



(10)
KCu4Sn12, optimized geometry, DFT PBE; energy relative to the elements = 0.011 eV/atom
1.0
-4.7436 4.7436 4.7436
4.7436 -4.7436 4.7436
4.7436 4.7436 -4.7436
K Cu Sn
1 4 12
Direct
0.0000 0.0000 0.0000
0.0000 0.0000 0.5000
0.0000 0.5000 0.0000
0.5000 0.0000 0.0000
0.5000 0.5000 0.5000
0.1627 0.3427 0.5054
0.1627 0.6573 0.8201
0.1799 0.8373 0.3427
0.3427 0.1799 0.8373
0.3427 0.5054 0.1627
0.4946 0.8373 0.6573
0.5054 0.1627 0.3427
0.6573 0.4946 0.8373
0.6573 0.8201 0.1627
0.8201 0.1627 0.6573
0.8373 0.3427 0.1799
0.8373 0.6573 0.4946



(11)
K2Cu2Sn, optimized geometry, DFT PBE; E above lowest polymorph = 35 meV per atom; energy relative to the elements = 0.187 eV/atom
1.0
3.4520 0.0000 0.0000
0.0000 3.4520 0.0000
0.0000 0.0000 22.7869
K Cu Sn
4 4 2
Direct
0.0000 0.0000 0.1226
0.0000 0.0000 0.8774
0.5000 0.5000 0.3774
0.5000 0.5000 0.6226
0.0000 0.5000 0.2500
0.0000 0.5000 0.7500
0.5000 0.0000 0.2500
0.5000 0.0000 0.7500
0.0000 0.0000 0.5000
0.5000 0.5000 0.0000



(12)
K2Cu2Sn, optimized geometry, DFT PBE; E above lowest polymorph = 329 meV per atom; energy relative to the elements = 0.481 eV/atom
1.0
9.8620 0.0000 0.0000
0.0000 9.8620 0.0000
0.0000 0.0000 3.0073
K Cu Sn
4 4 2
Direct
0.1954 0.3046 0.0000
0.3046 0.8046 0.0000
0.6954 0.1954 0.0000
0.8046 0.6954 0.0000
0.0858 0.5858 0.5000
0.4142 0.0858 0.5000
0.5858 0.9142 0.5000
0.9142 0.4142 0.5000
0.0000 0.0000 0.0000
0.5000 0.5000 0.0000



(13)
K2CuSn6, optimized geometry, DFT PBE; energy relative to the elements = -0.126 eV/atom
1.0
6.9206 0.0000 0.0000
-3.4603 5.9934 0.0000
0.0000 0.0000 6.3161
K Cu Sn
2 1 6
Direct
0.3333 0.6667 0.1562
0.6667 0.3333 0.8438
0.0000 0.0000 0.0000
0.1626 0.3252 0.6860
0.1626 0.8374 0.6860
0.3252 0.1626 0.3140
0.6748 0.8374 0.6860
0.8374 0.1626 0.3140
0.8374 0.6748 0.3140



(14)
KCu3Sn3, optimized geometry, DFT PBE; energy relative to the elements = -0.002 eV/atom
1.0
3.5225 2.0337 8.4848
-3.5225 2.0337 8.4848
0.0000 -4.0675 8.4848
K Cu Sn
2 6 6
Direct
0.1606 0.1606 0.1606
0.8394 0.8394 0.8394
0.0294 0.8357 0.2579
0.1643 0.7421 0.9706
0.2579 0.0294 0.8357
0.7421 0.9706 0.1643
0.8357 0.2579 0.0294
0.9706 0.1643 0.7421
0.0804 0.4749 0.6180
0.3820 0.9196 0.5251
0.4749 0.6180 0.0804
0.5251 0.3820 0.9196
0.6180 0.0804 0.4749
0.9196 0.5251 0.3820



(15)
KCu2Sn, optimized geometry, DFT PBE; energy relative to the elements = 0.192 eV/atom
1.0
5.1343 0.0000 0.0000
0.0000 5.1343 0.0000
0.0000 0.0000 17.5391
K Cu Sn
4 8 4
Direct
0.0000 0.2500 0.3750
0.0000 0.7500 0.6250
0.5000 0.2500 0.1250
0.5000 0.7500 0.8750
0.0000 0.0000 0.0000
0.0000 0.5000 0.0000
0.2500 0.2500 0.7500
0.2500 0.7500 0.2500
0.5000 0.0000 0.5000
0.5000 0.5000 0.5000
0.7500 0.2500 0.7500
0.7500 0.7500 0.2500
0.0000 0.2500 0.8750
0.0000 0.7500 0.1250
0.5000 0.2500 0.6250
0.5000 0.7500 0.3750



(16)
K3Cu2Sn7, optimized geometry, DFT PBE; energy relative to the elements = -0.088 eV/atom
1.0
6.2249 0.0000 0.0000
0.0000 4.5597 0.0000
-2.6856 0.0000 12.8507
K Cu Sn
3 2 7
Direct
0.0000 0.0000 0.0000
0.2054 0.0000 0.3930
0.7946 0.0000 0.6070
0.3421 0.5000 0.1835
0.6579 0.5000 0.8165
0.0740 0.5000 0.8057
0.3306 0.5000 0.6404
0.4220 0.0000 0.8144
0.5000 0.5000 0.0000
0.5780 0.0000 0.1856
0.6694 0.5000 0.3596
0.9260 0.5000 0.1943



(17)
K2Cu2Sn, optimized geometry, DFT PBE; E above lowest polymorph = 0 meV per atom; energy relative to the elements = 0.152 eV/atom
1.0
6.9362 0.0000 0.0000
0.0000 6.9362 0.0000
0.0000 0.0000 5.5645
K Cu Sn
4 4 2
Direct
0.1802 0.3198 0.0000
0.3198 0.8198 0.0000
0.6802 0.1802 0.0000
0.8198 0.6802 0.0000
0.1272 0.6272 0.5000
0.3728 0.1272 0.5000
0.6272 0.8728 0.5000
0.8728 0.3728 0.5000
0.0000 0.0000 0.5000
0.5000 0.5000 0.5000



(18)
KCu2Sn8, optimized geometry, DFT PBE; energy relative to the elements = 0.056 eV/atom
1.0
6.3344 0.0000 0.0000
0.0000 6.3344 0.0000
0.0000 0.0000 9.2687
K Cu Sn
1 2 8
Direct
0.0000 0.0000 0.0000
0.0000 0.5000 0.5000
0.5000 0.0000 0.5000
0.2526 0.2526 0.3242
0.2526 0.2526 0.6758
0.2526 0.7474 0.3242
0.2526 0.7474 0.6758
0.7474 0.2526 0.3242
0.7474 0.2526 0.6758
0.7474 0.7474 0.3242
0.7474 0.7474 0.6758



(19)
K3CuSn, optimized geometry, DFT PBE; E above lowest polymorph = 0 meV per atom; energy relative to the elements = 0.338 eV/atom
1.0
6.1501 0.0000 0.0000
0.0000 6.1501 0.0000
0.0000 0.0000 6.1501
K Cu Sn
3 1 1
Direct
0.0000 0.0000 0.5000
0.0000 0.5000 0.0000
0.5000 0.0000 0.0000
0.0000 0.0000 0.0000
0.5000 0.5000 0.5000



(20)
K2Cu2SnTe4, optimized geometry, DFT PBE; uncorrected formation energy = -406 meV per atom
1.0
7.9518 -2.1763 0.0000
7.9518 2.1763 0.0000
-3.8553 0.0000 7.9221
K Cu Sn Te
2 2 1 4
Direct
0.1567 0.1567 0.0743
0.8433 0.8433 0.9257
0.3061 0.3061 0.5318
0.6939 0.6939 0.4682
0.5000 0.5000 0.5000
0.1728 0.1728 0.6357
0.4814 0.4814 0.8137
0.5186 0.5186 0.1863
0.8272 0.8272 0.3643



(21)
KCu2SnTe4, optimized geometry, DFT PBE; uncorrected formation energy = -195 meV per atom
1.0
7.1239 0.0000 0.0000
0.0000 8.6743 0.0000
0.0000 0.0000 8.8936
K Cu Sn Te
2 4 2 8
Direct
0.0000 0.0000 0.0000
0.5000 0.5000 0.5000
0.0000 0.5000 0.1414
0.0000 0.5000 0.8586
0.5000 0.0000 0.3586
0.5000 0.0000 0.6414
0.0000 0.0000 0.5000
0.5000 0.5000 0.0000
0.2379 0.1869 0.3283
0.2379 0.8131 0.6717
0.2621 0.3131 0.8283
0.2621 0.6869 0.1717
0.7379 0.3131 0.1717
0.7379 0.6869 0.8283
0.7621 0.1869 0.6717
0.7621 0.8131 0.3283



(22)
KCuSnTe3, optimized geometry, DFT PBE; uncorrected formation energy = -397 meV per atom
1.0
9.9622 0.0000 0.0000
0.0000 4.3070 0.0000
-3.4626 0.0000 9.4299
K Cu Sn Te
2 2 2 6
Direct
0.2364 0.2500 0.1951
0.7636 0.7500 0.8049
0.4336 0.7500 0.9343
0.5664 0.2500 0.0657
0.1485 0.2500 0.6694
0.8515 0.7500 0.3306
0.1511 0.7500 0.8782
0.1652 0.7500 0.4600
0.4667 0.2500 0.7909
0.5333 0.7500 0.2091
0.8348 0.2500 0.5400
0.8489 0.2500 0.1218



(23)
KCu2SnW, optimized geometry, DFT PBE; energy relative to the elements = 1.636 eV/atom
1.0
4.8315 0.0000 0.0000
0.0000 4.8315 0.0000
0.0000 0.0000 5.5336
K Cu Sn W
1 2 1 1
Direct
0.0000 0.0000 0.0000
0.0000 0.5000 0.5000
0.5000 0.0000 0.5000
0.5000 0.5000 0.0000
0.0000 0.0000 0.5000



(24)
K2SrCu, optimized geometry, DFT PBE; E above lowest polymorph = 5 meV per atom; energy relative to the elements = 0.141 eV/atom
1.0
4.0650 0.0000 0.0000
0.0000 4.0650 0.0000
0.0000 0.0000 11.2644
K Sr Cu
2 1 1
Direct
0.0000 0.0000 0.0000
0.5000 0.5000 0.3443
0.0000 0.0000 0.6607
0.5000 0.5000 0.7891